1.
Compound: Pm2Nd5YEr
Source: Alexandria
Functional: PBE-GGA
Structure: optimized geometry

Results
As for the calculated formation energy: 6.4 kcal/mol of atoms. The value obtained for the calculated volume is 34.8 A^3/atom. The density of states at the Fermi level comes out at 1.572 states/eV/atom.

Cell lengths 8.670, 8.670, 10.337 Å; angles 114.80, 114.80, 90.00 degrees
Fractional positions:
Nd  0.574  0.642  0.716
Nd  0.500  0.500  0.000
Nd  0.642  0.142  0.716
Nd  0.000  0.000  0.000
Nd  0.426  0.358  0.284
Nd  0.926  0.426  0.284
Nd  0.358  0.858  0.284
Nd  0.074  0.574  0.716
Nd  0.142  0.074  0.716
Nd  0.858  0.926  0.284
Er  0.250  0.750  0.500
Er  0.750  0.250  0.500
Pm  0.379  0.879  0.000
Pm  0.879  0.621  0.000
Pm  0.121  0.379  0.000
Pm  0.621  0.121  0.000
Y  0.250  0.250  0.500
Y  0.750  0.750  0.500

2.
Compound: Pm5NdYEr2
Source: Alexandria
Functional: PBE-GGA
Structure: optimized geometry

Results
As for the calculated formation energy: 3.4 kcal/mol of atoms. The value obtained for the calculated volume is 34.1 A^3/atom. The density of states at the Fermi level comes out at 1.595 states/eV/atom.

Cell lengths 5.685, 10.516, 10.677 Å; angles 90.00, 90.00, 105.68 degrees
Fractional positions:
Pm  0.719  0.438  0.812
Pm  0.612  0.225  0.523
Pm  0.017  0.035  0.021
Pm  0.479  0.959  0.741
Pm  0.983  0.965  0.521
Pm  0.298  0.596  0.708
Pm  0.702  0.404  0.208
Pm  0.521  0.041  0.241
Pm  0.281  0.562  0.312
Pm  0.388  0.775  0.023
Y  0.800  0.601  0.511
Y  0.200  0.399  0.011
Er  0.884  0.768  0.819
Er  0.887  0.775  0.235
Er  0.113  0.225  0.735
Er  0.116  0.232  0.319
Nd  0.413  0.827  0.454
Nd  0.587  0.173  0.954

3.
Compound: Pm2NdY5Er
Source: Alexandria
Functional: PBE-GGA
Structure: optimized geometry

Results
As for the calculated formation energy: 5.9 kcal/mol of atoms. The value obtained for the calculated volume is 33.1 A^3/atom. The density of states at the Fermi level comes out at 1.204 states/eV/atom.

Cell lengths 8.784, 8.784, 9.915 Å; angles 116.29, 116.29, 90.00 degrees
Fractional positions:
Pm  0.884  0.616  0.000
Pm  0.116  0.384  0.000
Pm  0.384  0.884  0.000
Pm  0.616  0.116  0.000
Nd  0.750  0.750  0.500
Nd  0.250  0.250  0.500
Y  0.572  0.655  0.727
Y  0.500  0.500  0.000
Y  0.155  0.072  0.727
Y  0.655  0.155  0.727
Y  0.928  0.428  0.273
Y  0.000  0.000  0.000
Y  0.072  0.572  0.727
Y  0.845  0.928  0.273
Y  0.428  0.345  0.273
Y  0.345  0.845  0.273
Er  0.750  0.250  0.500
Er  0.250  0.750  0.500

4.
Compound: Pm6NdYEr2
Source: Alexandria
Functional: PBE-GGA
Structure: optimized geometry

Results
As for the calculated formation energy: 2.7 kcal/mol of atoms. The value obtained for the calculated volume is 33.9 A^3/atom. The density of states at the Fermi level comes out at 1.496 states/eV/atom.

Cell lengths 9.709, 8.932, 8.932 Å; angles 117.83, 93.97, 93.97 degrees
Fractional positions:
Er  0.045  0.297  0.196
Er  0.545  0.196  0.297
Er  0.455  0.804  0.703
Er  0.955  0.703  0.804
Nd  0.750  0.592  0.408
Nd  0.250  0.408  0.592
Pm  0.816  0.434  0.982
Pm  0.054  0.115  0.758
Pm  0.946  0.885  0.242
Pm  0.380  0.506  0.293
Pm  0.880  0.293  0.506
Pm  0.120  0.707  0.494
Pm  0.446  0.242  0.885
Pm  0.620  0.494  0.707
Pm  0.316  0.982  0.434
Pm  0.684  0.018  0.566
Pm  0.184  0.566  0.018
Pm  0.554  0.758  0.115
Y  0.750  0.028  0.972
Y  0.250  0.972  0.028

5.
Compound: PmNdYEr
Source: Alexandria
Functional: PBE-GGA
Structure: optimized geometry

Results
As for the calculated formation energy: 2.5 kcal/mol of atoms. The value obtained for the calculated volume is 33.4 A^3/atom. The density of states at the Fermi level comes out at 1.925 states/eV/atom. For the energy above the lowest structure with this stoichiometry, the calculation gives 88.5 meV per atom.

Cell lengths 5.738, 5.738, 5.738 Å; angles 60.00, 60.00, 60.00 degrees
Fractional positions:
Er  0.500  0.500  0.500
Pm  0.250  0.250  0.250
Y  0.000  0.000  0.000
Nd  0.750  0.750  0.750

6.
Compound: Pm2Nd2YEr2
Source: Alexandria
Functional: PBE-GGA
Structure: optimized geometry

Results
As for the calculated formation energy: 0.4 kcal/mol of atoms. The value obtained for the calculated volume is 33.2 A^3/atom. The density of states at the Fermi level comes out at 1.408 states/eV/atom.

Cell lengths 5.103, 6.250, 8.071 Å; angles 97.54, 90.00, 114.10 degrees
Fractional positions:
Nd  0.428  0.856  0.282
Nd  0.572  0.144  0.718
Pm  0.856  0.713  0.571
Pm  0.144  0.287  0.429
Er  0.715  0.429  0.141
Er  0.285  0.571  0.859
Y  0.000  0.000  0.000

7.
Compound: Pr3Nd2Er6
Source: Alexandria
Functional: PBE-GGA
Structure: optimized geometry

Results
As for the calculated formation energy: 5.9 kcal/mol of atoms. The value obtained for the calculated volume is 34.6 A^3/atom. The density of states at the Fermi level comes out at 1.486 states/eV/atom. For the energy above the lowest structure with this stoichiometry, the calculation gives 64.8 meV per atom.

Cell lengths 4.788, 4.788, 16.928 Å; angles 98.13, 98.13, 90.00 degrees
Fractional positions:
Er  0.309  0.309  0.619
Er  0.880  0.380  0.759
Er  0.620  0.120  0.241
Er  0.380  0.880  0.759
Er  0.691  0.691  0.381
Er  0.120  0.620  0.241
Pr  0.000  0.000  0.000
Pr  0.795  0.795  0.590
Pr  0.205  0.205  0.410
Nd  0.454  0.454  0.907
Nd  0.546  0.546  0.093

8.
Compound: Pr12NdEr7
Source: Alexandria
Functional: PBE-GGA
Structure: optimized geometry

Results
As for the calculated formation energy: 5.5 kcal/mol of atoms. The value obtained for the calculated volume is 35.2 A^3/atom. The density of states at the Fermi level comes out at 1.465 states/eV/atom. For the energy above the lowest structure with this stoichiometry, the calculation gives 96.3 meV per atom.

Cell lengths 6.270, 11.575, 11.575 Å; angles 116.81, 100.40, 100.40 degrees
Fractional positions:
Pr  0.502  0.589  0.413
Pr  0.913  0.824  0.411
Pr  0.580  0.648  0.002
Pr  0.420  0.352  0.998
Pr  0.911  0.413  0.824
Pr  0.423  0.002  0.355
Pr  0.089  0.587  0.176
Pr  0.932  0.355  0.352
Pr  0.068  0.645  0.648
Pr  0.498  0.411  0.587
Pr  0.087  0.176  0.589
Pr  0.577  0.998  0.645
Er  0.369  0.246  0.244
Er  0.500  0.000  0.000
Er  0.631  0.754  0.756
Er  0.125  0.756  0.002
Er  0.875  0.244  0.998
Er  0.123  0.998  0.754
Er  0.877  0.002  0.246
Nd  0.000  0.000  0.000

9.
Compound: Pr3Nd3Er2
Source: Alexandria
Functional: PBE-GGA
Structure: optimized geometry

Results
As for the calculated formation energy: 1.6 kcal/mol of atoms. The value obtained for the calculated volume is 34.7 A^3/atom. The density of states at the Fermi level comes out at 1.579 states/eV/atom. For the energy above the lowest structure with this stoichiometry, the calculation gives 49.9 meV per atom.

Cell lengths 6.082, 5.837, 8.886 Å; angles 109.18, 110.07, 90.00 degrees
Fractional positions:
Nd  0.810  0.365  0.730
Nd  0.500  0.500  0.000
Nd  0.190  0.635  0.270
Er  0.818  0.750  0.500
Er  0.182  0.250  0.500
Pr  0.420  0.865  0.730
Pr  0.000  0.000  0.000
Pr  0.580  0.135  0.270

10.
Compound: PrNd3Er
Source: Alexandria
Functional: PBE-GGA
Structure: optimized geometry

Results
As for the calculated formation energy: 0.4 kcal/mol of atoms. The value obtained for the calculated volume is 34.4 A^3/atom. The density of states at the Fermi level comes out at 1.498 states/eV/atom. For the energy above the lowest structure with this stoichiometry, the calculation gives 0.0 meV per atom.

Cell lengths 8.151, 10.337, 6.336 Å; angles 114.15, 130.28, 89.86 degrees
Fractional positions:
Nd  0.799  0.802  0.198
Nd  0.401  0.399  0.601
Nd  0.201  0.198  0.802
Nd  0.203  0.704  0.804
Nd  0.599  0.601  0.399
Nd  0.797  0.296  0.196
Pr  0.000  0.000  0.000
Pr  0.000  0.500  0.000
Er  0.598  0.097  0.397
Er  0.402  0.903  0.603

11.
Compound: Pr8NdEr4
Source: Alexandria
Functional: PBE-GGA
Structure: optimized geometry

Results
As for the calculated formation energy: 4.1 kcal/mol of atoms. The value obtained for the calculated volume is 34.8 A^3/atom. The density of states at the Fermi level comes out at 1.101 states/eV/atom.

Cell lengths 7.367, 7.367, 10.526 Å; angles 90.00, 110.48, 120.00 degrees
Fractional positions:
Er  0.000  0.500  0.000
Er  0.500  0.500  0.000
Er  0.000  0.000  0.000
Er  0.500  0.000  0.000
Pr  0.956  0.752  0.708
Pr  0.571  0.785  0.356
Pr  0.429  0.215  0.644
Pr  0.044  0.248  0.292
Pr  0.496  0.248  0.292
Pr  0.956  0.204  0.708
Pr  0.044  0.796  0.292
Pr  0.504  0.752  0.708
Nd  0.000  0.500  0.500

12.
Compound: Pr4Nd2Er
Source: Alexandria
Functional: PBE-GGA
Structure: optimized geometry

Results
As for the calculated formation energy: 0.3 kcal/mol of atoms. The value obtained for the calculated volume is 35.1 A^3/atom. The density of states at the Fermi level comes out at 1.307 states/eV/atom.

Cell lengths 3.679, 3.679, 21.039 Å; angles 84.98, 84.98, 60.00 degrees
Fractional positions:
Pr  0.858  0.858  0.427
Pr  0.142  0.142  0.573
Pr  0.713  0.713  0.861
Pr  0.287  0.287  0.139
Nd  0.428  0.428  0.717
Nd  0.572  0.572  0.283
Er  0.000  0.000  0.000